Entry 1:
The following is a PBE calculation of a relaxed DyTc2BC crystal, from the Alexandria database.

- Formation enthalpy at 0 K: -0.38 eV/atom
- E: -86.28 eV for the cell shown
- Total magnetization: 0.0 μB/f.u.

Cell: 3.4596 5.7462 7.2066 Å, 90.00 90.00 107.52°
Atoms (fractional coordinates):
Dy: 0.4559 0.9119 0.7500
Dy: 0.5441 0.0881 0.2500
Tc: 0.1730 0.3460 0.9357
Tc: 0.8270 0.6540 0.0643
Tc: 0.1730 0.3460 0.5643
Tc: 0.8270 0.6540 0.4357
B: 0.7358 0.4715 0.7500
B: 0.2642 0.5285 0.2500
C: 0.0000 0.0000 0.0000
C: 0.0000 0.0000 0.5000

=====

Entry 2:
The following is a PBE calculation of a relaxed Er2BC2 crystal, from the Alexandria database.

- Formation enthalpy at 0 K: -0.35 eV/atom
- E: -72.04 eV for the cell shown
- Total magnetization: 0.5 μB/f.u.

Cell: 5.0337 6.3529 6.8196 Å, 127.54 90.00 113.34°
Atoms (fractional coordinates):
Er: 0.3389 0.6777 0.4604
Er: 0.6602 0.3204 0.5359
Er: 0.9148 0.8295 0.1785
Er: 0.0844 0.1686 0.8179
B: 0.6818 0.3635 0.1217
B: 0.3173 0.6346 0.8747
C: 0.8177 0.6353 0.4085
C: 0.1814 0.3628 0.5879
C: 0.6075 0.2149 0.8425
C: 0.3917 0.7832 0.1538

=====

Entry 3:
The following is a PBE calculation of a relaxed Er4B5C2 crystal, from the Alexandria database.

- Formation enthalpy at 0 K: -0.25 eV/atom
- E: -72.78 eV for the cell shown
- Total magnetization: 0.0 μB/f.u.

Cell: 3.6053 6.6177 6.3324 Å, 95.35 90.00 90.00°
Atoms (fractional coordinates):
Er: 0.5000 0.7745 0.5905
Er: 0.5000 0.2304 0.8868
Er: 0.5000 0.2255 0.4095
Er: 0.5000 0.7696 0.1132
B: 0.0000 0.3360 0.1609
B: 0.0000 0.0777 0.1549
B: 0.0000 0.5000 0.0000
B: 0.0000 0.9223 0.8451
B: 0.0000 0.6640 0.8391
C: 0.0000 0.0475 0.6217
C: 0.0000 0.9525 0.3783

=====

Entry 4:
The following is a PBE calculation of a relaxed Er2BC2 crystal, from the Alexandria database.

- Formation enthalpy at 0 K: -0.28 eV/atom
- E: -71.29 eV for the cell shown
- Total magnetization: 0.0 μB/f.u.

Cell: 3.1233 6.1290 7.0263 Å, 90.00 102.84 90.00°
Atoms (fractional coordinates):
Er: 0.9675 0.7038 0.9349
Er: 0.7762 0.3873 0.5524
Er: 0.2238 0.8873 0.4476
Er: 0.0325 0.2038 0.0651
B: 0.3797 0.1365 0.7593
B: 0.6203 0.6365 0.2407
C: 0.4168 0.3840 0.8336
C: 0.8553 0.0228 0.7106
C: 0.1447 0.5228 0.2894
C: 0.5832 0.8840 0.1664

=====

Entry 5:
The following is a PBE calculation of a relaxed ErBC2 crystal, from the Alexandria database.

- Formation enthalpy at 0 K: -0.05 eV/atom
- E: -59.77 eV for the cell shown
- Total magnetization: 0.0 μB/f.u.

Cell: 2.8265 4.8175 7.2763 Å, 109.33 90.00 90.00°
Atoms (fractional coordinates):
Er: 0.2500 0.8288 0.6576
Er: 0.7500 0.1712 0.3424
B: 0.7500 0.3606 0.7212
B: 0.2500 0.6394 0.2788
C: 0.2500 0.3053 0.6105
C: 0.7500 0.6947 0.3895
C: 0.7500 0.4736 0.9471
C: 0.2500 0.5264 0.0529

=====

Entry 6:
The following is a PBE calculation of a relaxed Er3BC3 crystal, from the Alexandria database.

- Formation enthalpy at 0 K: -0.36 eV/atom
- E: -101.14 eV for the cell shown
- Total magnetization: 0.0 μB/f.u.
- Offset from the most stable computed form: 0.000 eV per atom

Cell: 5.0895 6.8709 6.8709 Å, 120.00 90.00 90.00°
Atoms (fractional coordinates):
Er: 0.7500 0.7054 0.6384
Er: 0.7500 0.3616 0.0670
Er: 0.7500 0.9330 0.2946
Er: 0.2500 0.2946 0.3616
Er: 0.2500 0.6384 0.9330
Er: 0.2500 0.0670 0.7054
B: 0.2500 0.6667 0.3333
B: 0.7500 0.3333 0.6667
C: 0.2500 0.6897 0.5870
C: 0.2500 0.4130 0.1027
C: 0.2500 0.8973 0.3103
C: 0.7500 0.3103 0.4130
C: 0.7500 0.5870 0.8973
C: 0.7500 0.1027 0.6897

=====

Entry 7:
The following is a PBE calculation of a relaxed Er2B3C crystal, from the Alexandria database.

- Formation enthalpy at 0 K: -0.51 eV/atom
- E: -41.47 eV for the cell shown
- Total magnetization: 0.0 μB/f.u.

Cell: 3.8568 3.1463 5.4524 Å, 90.00 90.00 90.00°
Atoms (fractional coordinates):
Er: 0.0000 0.5000 0.0041
Er: 0.0000 0.0000 0.4965
B: 0.5000 0.0000 0.8288
B: 0.5000 0.0000 0.1707
B: 0.5000 0.5000 0.6605
C: 0.5000 0.5000 0.3394

=====

Entry 8:
The following is a PBE calculation of a relaxed ErB3C crystal, from the Alexandria database.

- Formation enthalpy at 0 K: 0.12 eV/atom
- E: -33.22 eV for the cell shown
- Total magnetization: 0.0 μB/f.u.

Cell: 2.9836 2.9836 5.6573 Å, 107.42 107.42 89.60°
Atoms (fractional coordinates):
Er: 0.3861 0.3861 0.8049
B: 0.6824 0.1415 0.2995
B: 0.1415 0.6824 0.2995
B: 0.0690 0.0690 0.1114
C: 0.7180 0.7180 0.4786